## Dy2CoSi3Ir4 (PBE)

Data for a relaxed structure of Dy2CoSi3Ir4.

Cell lengths 4.0938, 4.0938, 9.9585 Å; angles 90.00, 90.00, 90.00 degrees
Site moments in Bohr magnetons follow the coordinates.
Element x y z (fractional)
Co1 0.5000 0.5000 0.5000  1.25
Si1 0.5000 0.0000 0.8692  -0.01
Si2 0.0000 0.5000 0.1308  -0.01
Si3 0.0000 0.0000 0.5000  0.00
Dy1 0.5000 0.0000 0.2525  -0.04
Dy2 0.0000 0.5000 0.7475  -0.04
Ir1 0.5000 0.0000 0.6320  0.05
Ir2 0.0000 0.5000 0.3680  0.05
Ir3 0.5000 0.5000 0.0000  -0.02
Ir4 0.0000 0.0000 0.0000  -0.03

Results
- SG = P-4m2, No. 115
- D(E_F) (states/eV/atom) = 0.657
- formation energy from raw total energies (eV per atom) = -0.917

=====

## DyCoSi3Ir (PBE)

Data for a relaxed structure of DyCoSi3Ir.

Cell lengths 5.5368, 6.1294, 7.0463 Å; angles 115.78, 90.00, 90.00 degrees
Element x y z (fractional)
Ir1 0.7500 0.6158 0.2315
Ir2 0.2500 0.3842 0.7685
Si1 0.7500 0.7925 0.5851
Si2 0.5000 0.2847 0.0000
Si3 0.0000 0.2847 0.0000
Si4 0.0000 0.7153 0.0000
Si5 0.5000 0.7153 0.0000
Si6 0.2500 0.2075 0.4149
Co1 0.2500 0.0413 0.0826
Co2 0.7500 0.9587 0.9174
Dy1 0.7500 0.1955 0.3909
Dy2 0.2500 0.8045 0.6091

Results
- SG = Cmcm, No. 63
- D(E_F) (states/eV/atom) = 0.531
- formation energy from raw total energies (eV per atom) = -0.509

=====

## SmDyCoIr (PBE)

Data for a relaxed structure of SmDyCoIr.

Cell lengths 4.8546, 4.8546, 4.8546 Å; angles 60.00, 60.00, 60.00 degrees
Site moments in Bohr magnetons follow the coordinates.
Element x y z (fractional)
Dy1 0.2500 0.2500 0.2500  -0.17
Ir1 0.5000 0.5000 0.5000  0.08
Co1 0.0000 0.0000 0.0000  0.89
Sm1 0.7500 0.7500 0.7500  -0.11

Results
- SG = F-43m, No. 216
- total DFT energy (no corrections) (eV per atom) = -6.7513
- D(E_F) (states/eV/atom) = 0.266

=====

## TbDyCoIr (PBE)

Data for a relaxed structure of TbDyCoIr.

Cell lengths 4.8095, 4.8095, 4.8095 Å; angles 60.00, 60.00, 60.00 degrees
Site moments in Bohr magnetons follow the coordinates.
Element x y z (fractional)
Ir1 0.7500 0.7500 0.7500  0.07
Co1 0.2500 0.2500 0.2500  0.87
Dy1 0.5000 0.5000 0.5000  -0.17
Tb1 0.0000 0.0000 0.0000  -0.16

Results
- SG = F-43m, No. 216
- total DFT energy (no corrections) (eV per atom) = -6.7977
- D(E_F) (states/eV/atom) = 0.283

=====

## DyThCoIr (PBE)

Data for a relaxed structure of DyThCoIr.

Cell lengths 4.9072, 4.9072, 4.9072 Å; angles 60.00, 60.00, 60.00 degrees
Element x y z (fractional)
Ir1 0.0000 0.0000 0.0000
Co1 0.5000 0.5000 0.5000
Th1 0.2500 0.2500 0.2500
Dy1 0.7500 0.7500 0.7500

Results
- SG = F-43m, No. 216
- total DFT energy (no corrections) (eV per atom) = -7.4678
- D(E_F) (states/eV/atom) = 0.639

=====

## DyTmCoIr (PBE)

Data for a relaxed structure of DyTmCoIr.

Cell lengths 4.7635, 4.7635, 4.7635 Å; angles 60.00, 60.00, 60.00 degrees
Site moments in Bohr magnetons follow the coordinates.
Element x y z (fractional)
Dy1 0.5000 0.5000 0.5000  -0.16
Tm1 0.0000 0.0000 0.0000  -0.17
Ir1 0.7500 0.7500 0.7500  0.07
Co1 0.2500 0.2500 0.2500  0.84

Results
- SG = F-43m, No. 216
- total DFT energy (no corrections) (eV per atom) = -6.8158
- D(E_F) (states/eV/atom) = 0.368